{"formula": "Cd2CuMo", "functional": "PBE-GGA", "state": "relaxed", "relative_energy_mev_per_atom": 114, "formation_energy_mev_per_atom": 364, "cell": [[5.7137, 0.1128, 0.5701], [5.0106, 2.7483, 0.5701], [2.0089, 0.5360, 4.8301]], "species": ["Cu", "Mo", "Cd", "Cd"], "fractional_positions": [[0.5124, 0.5124, 0.3981], [0.2365, 0.2365, 0.3503], [0.9917, 0.9917, 0.9326], [0.7594, 0.7594, 0.8190]]}